Entry 1:
The following is a PBE calculation of crystalline Pr3GaRu2 at its relaxed geometry, from Alexandria via LeMat-Bulk.

## Properties
calculated total energy = -6.20 eV/atom
formation energy = -217 meV/atom
SG = Immm

```
Pr3GaRu2
1.0
4.187 0.000 -1.212
-0.344 4.180 -1.189
0.078 0.045 8.109
Pr Ga Ru
3 1 2
Direct
0.500 0.500 0.000
0.819 0.319 0.638
0.181 0.681 0.362
0.000 0.000 0.000
0.376 0.876 0.752
0.624 0.124 0.248
```



Entry 2:
The following is a PBE calculation of crystalline RbNa2LiPt at its relaxed geometry, from Alexandria via LeMat-Bulk.

## Properties
calculated total energy = -2.34 eV/atom
energy above the lowest structure with this stoichiometry = 0 meV per atom
formation energy = -26 meV/atom
SG = P4/mmm

```
RbNa2LiPt
1.0
-1.124 -2.541 -4.977
-4.148 -3.022 2.480
-3.300 3.623 -1.105
Na Rb Pt Li
2 1 1 1
Direct
0.000 0.500 0.000
0.500 0.000 0.000
0.500 0.500 0.500
0.000 0.000 0.000
0.000 0.000 0.500
```